#w
Entry from the Alexandria database: crystalline Zr2CrRe at its relaxed geometry (GGA-PBE).

Cell and atoms, written as POSCAR:
```
Zr2CrRe
1.0
3.319 0.000 0.000
0.000 3.319 0.000
0.000 0.000 6.600
Zr Cr Re
2 1 1
direct
0.000 0.000 0.245 Zr
0.000 0.000 0.755 Zr
0.500 0.500 0.500 Cr
0.500 0.500 0.000 Re
```

#x
Entry from the Alexandria database: crystalline Zr2CrRe at its relaxed geometry (GGA-PBE).

Cell and atoms, written as POSCAR:
```
Zr2CrRe
1.0
-1.643 2.408 4.379
1.643 -2.408 4.379
1.643 2.408 -4.379
Zr Cr Re
2 1 1
direct
0.243 0.243 0.000 Zr
0.757 0.757 0.000 Zr
0.000 0.500 0.500 Cr
0.500 0.000 0.500 Re
```

Of them, #x has the lowest stability.